Below is crystalline ZrTlH2 at its relaxed geometry, with properties calculated at the PBE level.

Unit cell a=4.406 b=4.406 c=12.176 alpha=90.00 beta=90.00 gamma=90.00
Atoms (fractional coordinates):
Zr  0.000  0.000  0.000
Zr  0.000  0.500  0.250
Zr  0.500  0.000  0.750
Zr  0.500  0.500  0.500
Tl  0.000  0.000  0.500
Tl  0.000  0.500  0.750
Tl  0.500  0.000  0.250
Tl  0.500  0.500  0.000
H  0.069  0.250  0.125
H  0.250  0.569  0.375
H  0.250  0.931  0.875
H  0.431  0.250  0.625
H  0.569  0.750  0.625
H  0.750  0.069  0.875
H  0.750  0.431  0.375
H  0.931  0.750  0.125

The calculation puts the energy above the lowest structure with this stoichiometry at 0.244 eV/atom. The electronic total energy comes out at -4.420 eV per atom. As for the volume: 236 Å³/cell.



Below is crystalline Zr4TlH2 at its relaxed geometry, with properties calculated at the PBE level.

Unit cell a=5.195 b=5.877 c=8.057 alpha=76.72 beta=89.65 gamma=89.81
Atoms (fractional coordinates):
Zr  0.000  0.000  0.000
Zr  0.000  0.431  0.191
Zr  0.012  0.206  0.601
Zr  0.491  0.502  0.530
Zr  0.494  0.129  0.326
Zr  0.505  0.346  0.916
Zr  0.508  0.922  0.732
Zr  0.991  0.817  0.400
Tl  0.010  0.616  0.781
Tl  0.495  0.728  0.143
H  0.247  0.209  0.107
H  0.628  0.846  0.504
H  0.755  0.206  0.112
H  0.766  0.342  0.401

The electronic total energy comes out at -6.420 eV per atom. As for the volume: 239 Å³/cell.